Here is CrAgIr after structural relaxation from the Alexandria database. Energies are from PBE.

Computed properties:
- Spin magnetization: 1.921 μB/f.u.
- E above lowest polymorph: 0.058 eV/atom
- Total DFT energy (no corrections): -41.15 eV for the cell shown

Lattice parameters (Å, degrees): 2.824 3.540 9.244 90.00 90.00 90.00
Space group Imm2 (No. 44)
Symmetry-distinct sites (fractional):
Cr: 0.000 0.000 0.000 [2 per cell]
Ag: 0.000 0.000 0.687 [2 per cell]
Ir: 0.000 0.000 0.380 [2 per cell]